1.
Ho3Cd2Os after structural relaxation, computed with GGA-PBE.

Cell lengths 4.996, 7.857, 7.618 Å; angles 90.00, 90.00, 71.46 degrees
Atoms (fractional coordinates):
Ho  0.826  0.349  0.782
Ho  0.174  0.651  0.218
Ho  0.175  0.651  0.782
Ho  0.500  0.000  0.228
Ho  0.825  0.349  0.218
Ho  0.500  0.000  0.772
Os  0.338  0.324  0.000
Os  0.662  0.676  0.000
Cd  0.666  0.668  0.500
Cd  0.000  0.000  0.000
Cd  0.000  0.000  0.500
Cd  0.334  0.332  0.500

Values from the calculation:
The formation energy comes out at -0.324 eV per atom.

---

2.
MgZn2Ni after structural relaxation, computed with GGA-PBE.

Cell lengths 4.321, 4.321, 4.321 Å; angles 60.00, 60.00, 60.00 degrees
Atoms (fractional coordinates):
Zn  0.750  0.750  0.750
Zn  0.000  0.000  0.000
Mg  0.500  0.500  0.500
Ni  0.250  0.250  0.250

Values from the calculation:
The formation energy comes out at -0.119 eV per atom.

---

3.
Tm2GeRh after structural relaxation, computed with GGA-PBE.

Cell lengths 3.603, 4.764, 4.764 Å; angles 90.00, 90.00, 90.00 degrees
Atoms (fractional coordinates):
Tm  0.000  0.500  0.000
Tm  0.000  0.000  0.500
Rh  0.500  0.500  0.500
Ge  0.500  0.000  0.000

Values from the calculation:
The formation energy comes out at -0.809 eV per atom.

---

4.
Ca2BiIr after structural relaxation, computed with GGA-PBE.

Cell lengths 8.524, 8.524, 6.742 Å; angles 50.79, 50.79, 90.00 degrees
Atoms (fractional coordinates):
Bi  0.750  0.250  0.500
Bi  0.000  0.000  0.000
Ca  0.556  0.125  0.250
Ca  0.375  0.444  0.750
Ca  0.194  0.625  0.250
Ca  0.875  0.806  0.750
Ir  0.500  0.500  0.000
Ir  0.250  0.750  0.500

Values from the calculation:
The formation energy comes out at -0.141 eV per atom.

---

5.
SnHgPdRh after structural relaxation, computed with GGA-PBE.

Cell lengths 4.648, 4.648, 4.648 Å; angles 60.00, 60.00, 60.00 degrees
Atoms (fractional coordinates):
Hg  0.750  0.750  0.750
Rh  0.500  0.500  0.500
Sn  0.250  0.250  0.250
Pd  0.000  0.000  0.000

Values from the calculation:
The formation energy comes out at -0.208 eV per atom.

---

6.
Ni2H2Os after structural relaxation, computed with GGA-PBE.

Cell lengths 2.661, 2.661, 6.156 Å; angles 77.52, 77.52, 90.00 degrees
Atoms (fractional coordinates):
Ni  0.658  0.658  0.685
Ni  0.342  0.342  0.315
H  0.250  0.750  0.500
H  0.750  0.250  0.500
Os  0.000  0.000  0.000

---

7.
AlHgBr2 after structural relaxation, computed with GGA-PBE.

Cell lengths 6.033, 6.033, 6.033 Å; angles 144.54, 114.26, 76.98 degrees
Atoms (fractional coordinates):
Br  0.059  0.059  0.000
Br  0.720  0.220  0.500
Hg  0.468  0.468  0.000
Al  0.253  0.753  0.500

Values from the calculation:
For the formation energy without anion corrections, the calculation gives -1.2 eV per formula unit.

---

8.
Sc2HgSe after structural relaxation, computed with GGA-PBE.

Cell lengths 5.750, 5.750, 4.357 Å; angles 89.98, 89.98, 37.23 degrees
Atoms (fractional coordinates):
Sc  0.003  0.003  0.125
Sc  0.746  0.746  0.625
Se  0.489  0.489  0.625
Hg  0.261  0.261  0.125

Values from the calculation:
For the formation energy without anion corrections, the calculation gives -3.1 eV per formula unit.

---

9.
CsSn4Pb2 after structural relaxation, computed with GGA-PBE.

Cell lengths 4.739, 5.047, 11.040 Å; angles 103.21, 102.39, 90.00 degrees
Atoms (fractional coordinates):
Pb  0.822  0.822  0.644
Pb  0.178  0.178  0.356
Cs  0.500  0.000  0.000
Sn  0.667  0.667  0.333
Sn  0.921  0.421  0.842
Sn  0.333  0.333  0.667
Sn  0.079  0.579  0.158

Values from the calculation:
The formation energy comes out at -0.011 eV per atom.

---

10.
CaCeSbTe after structural relaxation, computed with GGA-PBE.

Cell lengths 4.545, 4.545, 7.848 Å; angles 73.17, 73.17, 60.00 degrees
Atoms (fractional coordinates):
Ce  0.254  0.254  0.239
Te  0.500  0.500  0.499
Sb  0.999  0.999  0.003
Ca  0.747  0.747  0.759

Values from the calculation:
For the formation energy without anion corrections, the calculation gives -5.1 eV per formula unit.

---

11.
PmSiIrRh after structural relaxation, computed with GGA-PBE.

Cell lengths 3.969, 4.104, 5.696 Å; angles 111.12, 110.39, 90.00 degrees
Atoms (fractional coordinates):
Rh  0.333  0.333  0.667
Ir  0.593  0.593  0.187
Si  0.219  0.719  0.437
Pm  0.970  0.970  0.940

Values from the calculation:
For the formation energy without anion corrections, the calculation gives -2.5 eV per formula unit.

---

12.
NaBe3Cu after structural relaxation, computed with GGA-PBE.

Cell lengths 4.176, 4.176, 4.176 Å; angles 90.00, 90.00, 90.00 degrees
Atoms (fractional coordinates):
Be  0.000  0.000  0.500
Be  0.000  0.500  0.000
Be  0.500  0.000  0.000
Na  0.500  0.500  0.500
Cu  0.000  0.000  0.000

Values from the calculation:
The formation energy comes out at 0.544 eV per atom.

---

13.
Th2CuP after structural relaxation, computed with GGA-PBE.

Cell lengths 3.981, 3.981, 7.759 Å; angles 75.16, 75.16, 60.03 degrees
Atoms (fractional coordinates):
Th  0.256  0.256  0.233
Th  0.077  0.077  0.770
P  0.667  0.667  0.998
Cu  0.500  0.500  0.500

Values from the calculation:
The formation energy comes out at -0.638 eV per atom.

---

14.
ZnP2PtO after structural relaxation, computed with GGA-PBE.

Cell lengths 4.753, 4.753, 3.495 Å; angles 90.00, 90.00, 90.00 degrees
Atoms (fractional coordinates):
P  0.000  0.500  0.000
P  0.500  0.000  0.000
O  0.000  0.000  0.500
Pt  0.500  0.500  0.500
Zn  0.000  0.000  0.000

Values from the calculation:
For the formation energy without anion corrections, the calculation gives 3.1 eV per formula unit.

---

15.
PaCoHRu2 after structural relaxation, computed with GGA-PBE.

Cell lengths 3.921, 4.060, 4.060 Å; angles 90.00, 90.00, 90.00 degrees
Atoms (fractional coordinates):
Ru  0.000  0.500  0.000
Ru  0.000  0.000  0.500
H  0.000  0.000  0.000
Pa  0.500  0.500  0.500
Co  0.500  0.000  0.000

---

16.
Co4Pt3Rh after structural relaxation, computed with GGA-PBE.

Cell lengths 2.693, 4.651, 9.740 Å; angles 76.62, 65.50, 90.00 degrees
Atoms (fractional coordinates):
Pt  0.000  0.500  0.000
Pt  0.097  0.199  0.269
Pt  0.903  0.801  0.731
Co  0.392  0.298  0.739
Co  0.608  0.702  0.261
Co  0.759  0.719  0.494
Co  0.241  0.281  0.506
Rh  0.500  0.000  0.000

Values from the calculation:
The formation energy comes out at -0.028 eV per atom.

---

17.
LiPm2Pr after structural relaxation, computed with GGA-PBE.

Cell lengths 3.609, 3.609, 11.710 Å; angles 81.13, 81.13, 60.00 degrees
Atoms (fractional coordinates):
Pm  0.079  0.079  0.762
Pm  0.254  0.254  0.237
Pr  0.500  0.500  0.501
Li  0.667  0.667  0.000

Values from the calculation:
The formation energy comes out at 0.104 eV per atom.

---

18.
ErLuMgGa after structural relaxation, computed with GGA-PBE.

Cell lengths 5.093, 5.093, 5.093 Å; angles 60.00, 60.00, 60.00 degrees
Atoms (fractional coordinates):
Mg  0.750  0.750  0.750
Lu  0.500  0.500  0.500
Er  0.000  0.000  0.000
Ga  0.250  0.250  0.250

Values from the calculation:
The formation energy comes out at -0.313 eV per atom.

---

19.
TbCdIn2 after structural relaxation, computed with GGA-PBE.

Cell lengths 4.775, 4.775, 5.932 Å; angles 66.27, 66.27, 60.00 degrees
Atoms (fractional coordinates):
In  0.767  0.767  0.698
In  0.233  0.233  0.302
Cd  0.500  0.500  0.500
Tb  0.000  0.000  0.000

Values from the calculation:
The formation energy comes out at -0.222 eV per atom.

---

20.
SrPt2Br after structural relaxation, computed with GGA-PBE.

Cell lengths 5.001, 5.001, 5.001 Å; angles 60.00, 60.00, 60.00 degrees
Atoms (fractional coordinates):
Pt  0.250  0.250  0.250
Pt  0.750  0.750  0.750
Br  0.000  0.000  0.000
Sr  0.500  0.500  0.500

Values from the calculation:
For the formation energy without anion corrections, the calculation gives 0.4 eV per formula unit.

---

21.
NdN2Cl2 after structural relaxation, computed with GGA-PBE.

Cell lengths 7.526, 6.982, 7.022 Å; angles 94.29, 58.17, 88.42 degrees
Atoms (fractional coordinates):
N  0.117  0.289  0.935
N  0.079  0.185  0.071
N  0.883  0.711  0.065
N  0.921  0.815  0.929
Cl  0.478  0.695  0.691
Cl  0.522  0.305  0.309
Cl  0.131  0.694  0.342
Cl  0.869  0.306  0.658
Nd  0.168  0.520  0.665
Nd  0.832  0.480  0.335

Values from the calculation:
For the formation energy without anion corrections, the calculation gives -6.3 eV per formula unit.

---

22.
DyGa2Ag5 after structural relaxation, computed with GGA-PBE.

Cell lengths 3.689, 6.859, 6.859 Å; angles 71.56, 74.40, 74.40 degrees
Atoms (fractional coordinates):
Ag  0.361  0.435  0.843
Ag  0.361  0.843  0.435
Ag  0.000  0.500  0.500
Ag  0.639  0.565  0.157
Ag  0.639  0.157  0.565
Ga  0.740  0.760  0.760
Ga  0.260  0.240  0.240
Dy  0.000  0.000  0.000

Values from the calculation:
The formation energy comes out at -0.155 eV per atom.

---

23.
Mn5InRh6 after structural relaxation, computed with GGA-PBE.

Cell lengths 4.347, 6.144, 7.522 Å; angles 114.11, 106.80, 90.00 degrees
Atoms (fractional coordinates):
Mn  0.335  0.835  0.671
Mn  0.665  0.165  0.329
Mn  0.000  0.500  0.000
Mn  0.667  0.667  0.335
Mn  0.333  0.333  0.665
Rh  0.500  0.736  0.000
Rh  0.829  0.085  0.658
Rh  0.500  0.264  0.000
Rh  0.171  0.428  0.342
Rh  0.171  0.915  0.342
Rh  0.829  0.572  0.658
In  0.000  0.000  0.000

Values from the calculation:
The formation energy comes out at -0.217 eV per atom.

---

24.
BaPu2MoN4 after structural relaxation, computed with GGA-PBE.

Cell lengths 3.525, 6.455, 12.111 Å; angles 90.00, 90.00, 105.84 degrees
Atoms (fractional coordinates):
Mo  0.823  0.646  0.750
Mo  0.177  0.354  0.250
Pu  0.630  0.260  0.460
Pu  0.370  0.740  0.540
Pu  0.370  0.740  0.960
Pu  0.630  0.260  0.040
Ba  0.914  0.828  0.250
Ba  0.086  0.172  0.750
N  0.000  0.000  0.500
N  0.596  0.192  0.250
N  0.404  0.808  0.750
N  0.748  0.496  0.891
N  0.748  0.496  0.609
N  0.252  0.504  0.391
N  0.000  0.000  0.000
N  0.252  0.504  0.109

Values from the calculation:
For the formation energy without anion corrections, the calculation gives -7.0 eV per formula unit.

---

25.
GdZnNiAu after structural relaxation, computed with GGA-PBE.

Cell lengths 4.711, 4.711, 4.711 Å; angles 60.00, 60.00, 60.00 degrees
Atoms (fractional coordinates):
Au  0.000  0.000  0.000
Gd  0.750  0.750  0.750
Ni  0.500  0.500  0.500
Zn  0.250  0.250  0.250

Values from the calculation:
The formation energy comes out at -0.365 eV per atom.

---

26.
Tc3HgN after structural relaxation, computed with GGA-PBE.

Cell lengths 5.226, 5.226, 5.226 Å; angles 90.00, 90.00, 90.00 degrees
Atoms (fractional coordinates):
Tc  0.500  0.000  0.000
Tc  0.000  0.500  0.000
Tc  0.000  0.000  0.500
N  0.500  0.500  0.500
Hg  0.000  0.000  0.000

Values from the calculation:
For the formation energy without anion corrections, the calculation gives 17.7 eV per formula unit.

---

27.
LaSi2Mo2 after structural relaxation, computed with GGA-PBE.

Cell lengths 7.700, 7.700, 2.982 Å; angles 90.00, 90.00, 90.00 degrees
Atoms (fractional coordinates):
Mo  0.857  0.357  0.500
Mo  0.643  0.857  0.500
Mo  0.143  0.643  0.500
Mo  0.357  0.143  0.500
Si  0.865  0.635  0.000
Si  0.635  0.135  0.000
Si  0.135  0.365  0.000
Si  0.365  0.865  0.000
La  0.500  0.500  0.000
La  0.000  0.000  0.000

Values from the calculation:
For the formation energy without anion corrections, the calculation gives -0.6 eV per formula unit.

---

Computed E (eV per formula unit) in order:
-28.74, -10.40, -24.15, -17.31, -17.68, -28.88, -8.57, -19.59, -24.36, -20.27, -28.88, -13.88, -26.90, -19.96, -40.30, -54.12, -15.78, -14.96, -11.91, -15.06, -31.37, -26.16, -95.30, -81.72, -25.87, -22.05, -38.00
Computed calculated volume (Å³/cell) in order:
284, 57, 82, 219, 71, 42, 114, 87, 251, 132, 80, 73, 102, 79, 65, 107, 130, 93, 104, 88, 312, 155, 174, 265, 74, 143, 177